VASP calculation (PBE) on an optimized crystal structure of Er3CoSb.

Cell lengths 7.9134, 7.9134, 8.3169 Å; angles 93.22, 93.22, 28.89 degrees
Element x y z (fractional)
Er1 0.0517 0.0517 0.2006
Er2 0.2521 0.2521 0.7852
Er3 0.3914 0.3914 0.4562
Er4 0.6086 0.6086 0.5438
Er5 0.7479 0.7479 0.2148
Er6 0.9483 0.9483 0.7994
Co1 0.2097 0.2097 0.4377
Co2 0.7903 0.7903 0.5623
Sb1 0.3902 0.3902 0.0775
Sb2 0.6098 0.6098 0.9225

Values from the calculation:
Fermi-level density of states ... 0.84 states/eV/atom
VASP energy ... -5.51 eV/atom
V ... 25.12 Å³/atom
Distance to the lowest polymorph of the same formula ... 0.000 eV per atom